[1]
BPtN2O | the Alexandria database | PBE | relaxed; formation energy without anion corrections = 2.06 eV/atom; M_tot = 0.061 μB per atom; calculated density = 6.78 Mg/m³
1.0
3.801 0.000 0.000
0.000 3.801 0.000
0.000 0.000 4.235
B Pt N O
1 1 2 1
Cartesian
0.000 0.000 0.000
1.901 1.901 2.117
0.000 1.901 2.117
1.901 0.000 2.117
1.901 1.901 0.000

=====

[2]
BSbNO2 | the Alexandria database | PBE | relaxed; formation energy without anion corrections = -0.07 eV/atom; M_tot = 0.018 μB per atom; calculated density = 6.83 Mg/m³
1.0
3.323 0.000 0.000
0.000 3.323 0.000
0.000 0.000 3.931
B Sb N O
1 1 1 2
Cartesian
0.000 0.000 0.000
1.661 1.661 1.966
0.000 0.000 1.966
0.000 1.661 0.000
1.661 0.000 0.000